(1)
Material: AsRh2Br
Method: DFT, meta-GGA SCAN
State: PBEsol geometry

a = 4.4903 Å, b = 4.4903 Å, c = 4.4903 Å
α = 60.00°, β = 60.00°, γ = 60.00°
With the nearest neighbours (Å) after each atom.
Sites, in units of the cell vectors:
Rh 0.0000 0.0000 0.0000  4 Br 2.75, 4 Rh 2.75
Rh 0.7500 0.7500 0.7500  4 As 2.75, 4 Rh 2.75
As 0.5000 0.5000 0.5000  4 Rh 2.75, 4 Br 2.75
Br 0.2500 0.2500 0.2500  4 As 2.75, 4 Rh 2.75

ΔE_f (raw) ... 0.6882 eV/atom
Space-group type ... F-43m, No. 216



(2)
Material: AsRh2Br
Method: DFT, meta-GGA SCAN
State: PBEsol geometry

a = 3.1775 Å, b = 3.4598 Å, c = 6.7297 Å
α = 104.90°, β = 103.66°, γ = 90.00°
With the nearest neighbours (Å) after each atom.
Sites, in units of the cell vectors:
Rh 0.9817 0.9817 0.9634  4 As 2.48, 2 Br 2.77
Rh 0.6708 0.1708 0.3416  2 As 2.34
As 0.5460 0.5460 0.0920  6 Rh 2.34-2.48
Br 0.3015 0.8015 0.6030  6 Rh 2.77-2.87

ΔE_f (raw) ... -0.1179 eV/atom
Space-group type ... Imm2, No. 44



(3)
Material: AsRhSeBr2
Method: DFT, meta-GGA SCAN
State: PBEsol geometry

a = 5.1125 Å, b = 5.0504 Å, c = 5.0504 Å
α = 90.00°, β = 90.00°, γ = 90.00°
With the nearest neighbours (Å) after each atom.
Sites, in units of the cell vectors:
Br 0.0000 0.5000 0.0000  2 As 2.53
Br 0.0000 0.0000 0.5000  2 As 2.53
As 0.0000 0.0000 0.0000  4 Br 2.53, 2 Se 2.56
Rh 0.5000 0.5000 0.5000  4 Se 3.57, 8 Br 3.59
Se 0.5000 0.0000 0.0000  2 As 2.56

ΔE_f (raw) ... 0.6141 eV/atom
Space-group type ... P4/mmm, No. 123



(4)
Material: TaAsRhBr2
Method: DFT, meta-GGA SCAN
State: PBEsol geometry

a = 4.9387 Å, b = 4.9387 Å, c = 5.0450 Å
α = 90.00°, β = 90.00°, γ = 90.00°
With the nearest neighbours (Å) after each atom.
Sites, in units of the cell vectors:
As 0.0000 0.0000 0.5000  2 Ta 2.52
Rh 0.5000 0.5000 0.5000  4 As 3.49, 8 Br 3.53
Br 0.5000 0.0000 0.0000  2 Ta 2.47
Br 0.0000 0.5000 0.0000  2 Ta 2.47
Ta 0.0000 0.0000 0.0000  4 Br 2.47, 2 As 2.52

ΔE_f (raw) ... 0.6801 eV/atom
Space-group type ... P4/mmm, No. 123



no.,DFT total energy (eV/atom),spin magnetization (Bohr magnetons per cell)
1,-26.110,0.000
2,-26.916,0.000
3,-21.978,2.073
4,-31.213,1.900